1.
DFT (PBE-GGA) results for an optimized crystal structure of KF4.

The structure in POSCAR format:
```
KF4
1.0
-2.491 -2.826 1.171
6.618 -6.462 -1.518
3.005 1.006 8.822
F K
16 4
Cartesian
6.036 -7.520 1.337 F
-0.454 -0.515 0.213 F
1.097 -0.763 7.138 F
0.486 -3.043 0.335 F
3.968 -3.014 7.813 F
2.699 -4.298 2.015 F
1.928 -2.481 4.760 F
3.165 -5.269 0.662 F
6.647 -5.240 8.140 F
4.358 -3.243 3.865 F
4.433 -3.985 6.460 F
-2.037 -2.311 0.958 F
6.462 -6.518 4.661 F
5.205 -5.802 3.715 F
2.775 -5.039 4.609 F
0.671 -1.765 3.813 F
2.519 -1.598 1.502 K
6.016 -4.766 1.296 K
3.607 -0.690 6.008 K
7.105 -3.858 5.802 K
```

Calculated values
As for the energy above the most stable polymorph in this dataset: 0.0000 eV per atom.

=====

2.
DFT (PBE-GGA) results for an optimized crystal structure of Pm12Dy7Ho.

The structure in POSCAR format:
```
Pm12Dy7Ho
1.0
-2.753 -5.341 1.516
-6.069 2.873 -9.346
10.778 -3.647 -1.720
Pm Dy Ho
12 7 1
Cartesian
2.881 -0.823 -7.059 Pm
-0.490 -2.490 -5.443 Pm
5.033 -2.109 -2.508 Pm
3.877 -6.701 -3.897 Pm
-0.925 -5.293 -2.491 Pm
-0.717 -2.615 -9.565 Pm
-5.534 -1.276 -5.153 Pm
2.446 -3.626 -4.107 Pm
2.673 -3.501 0.016 Pm
7.489 -4.840 -4.397 Pm
-1.922 0.585 -5.653 Pm
-3.077 -4.008 -7.042 Pm
-4.927 1.495 -6.870 Dy
-1.377 -2.671 0.758 Dy
6.883 -7.611 -2.680 Dy
0.230 -5.562 0.900 Dy
0.128 -2.168 -2.148 Dy
1.725 -0.554 -10.450 Dy
1.828 -3.948 -7.402 Dy
0.000 0.000 0.000 Ho
```

Calculated values
As for the energy above the most stable polymorph in this dataset: 0.0000 eV per atom. Its energy relative to the elements is 241 meV per atom.

=====

3.
DFT (PBE-GGA) results for an optimized crystal structure of Pr8YHo5.

The structure in POSCAR format:
```
Pr8YHo5
1.0
-7.345 3.665 -2.670
-0.615 -8.609 -0.048
1.405 2.980 7.978
Ho Pr Y
5 8 1
Cartesian
-5.422 -0.766 3.552 Ho
-6.685 -4.063 -0.919 Ho
-0.735 3.066 6.953 Ho
-2.970 3.323 2.654 Ho
-0.268 -2.166 0.935 Ho
-5.921 4.584 2.776 Pr
-5.065 1.457 0.713 Pr
-2.071 0.242 2.513 Pr
-3.825 1.772 5.570 Pr
-3.863 -2.470 0.702 Pr
-1.552 -5.486 0.128 Pr
-0.358 -4.688 3.536 Pr
-3.566 -3.268 5.104 Pr
-1.090 -1.153 5.292 Y
```

Calculated values
Its energy relative to the elements is 248 meV per atom.

=====

4.
DFT (PBE-GGA) results for an optimized crystal structure of Dy3As5Rh6.

The structure in POSCAR format:
```
Dy3As5Rh6
1.0
3.997 0.000 0.000
0.000 9.756 0.000
0.000 0.000 12.670
Rh As Dy
12 10 6
Cartesian
1.998 0.123 0.000 Rh
1.998 5.037 0.000 Rh
0.000 5.819 8.812 Rh
0.000 9.633 6.335 Rh
0.000 4.719 6.335 Rh
0.000 0.084 10.551 Rh
0.000 5.819 3.858 Rh
0.000 0.084 2.119 Rh
1.998 3.937 10.193 Rh
1.998 3.937 2.477 Rh
1.998 9.672 8.454 Rh
1.998 9.672 4.216 Rh
0.000 8.327 0.000 As
1.998 1.523 10.517 As
1.998 4.530 7.838 As
1.998 1.523 2.153 As
0.000 5.226 1.503 As
1.998 1.429 6.335 As
0.000 8.233 4.182 As
1.998 4.530 4.833 As
0.000 8.233 8.489 As
0.000 5.226 11.168 As
1.998 7.370 10.614 Dy
0.000 2.386 8.391 Dy
0.000 2.386 4.279 Dy
0.000 2.569 0.000 Dy
1.998 7.187 6.335 Dy
1.998 7.370 2.056 Dy
```

Calculated values
Its energy relative to the elements is -942 meV per atom.

=====

5.
DFT (PBE-GGA) results for an optimized crystal structure of Zr2UO8.

The structure in POSCAR format:
```
Zr2UO8
1.0
3.720 0.000 0.000
-1.860 6.171 -0.823
0.000 0.322 6.765
O Zr U
8 2 1
Cartesian
0.000 2.617 3.227 O
1.860 3.876 2.715 O
0.000 5.206 0.867 O
1.860 5.544 5.137 O
0.000 0.948 0.806 O
1.860 1.286 5.075 O
1.860 2.658 0.358 O
0.000 3.834 5.584 O
1.860 3.412 4.786 Zr
0.000 3.080 1.156 Zr
1.860 0.000 0.000 U
```

=====

6.
DFT (PBE-GGA) results for an optimized crystal structure of NpCdCl6.

The structure in POSCAR format:
```
NpCdCl6
1.0
6.588 0.222 0.000
1.830 6.336 0.000
0.915 3.168 6.182
Cl Cd Np
6 1 1
Cartesian
2.173 1.688 0.000 Cl
6.245 4.870 0.000 Cl
3.015 4.807 1.798 Cl
5.403 1.751 1.798 Cl
6.318 4.919 4.383 Cl
3.930 7.975 4.383 Cl
0.000 0.000 0.000 Cd
4.209 3.279 0.000 Np
```

=====

7.
DFT (PBE-GGA) results for an optimized crystal structure of Li3B8C8.

The structure in POSCAR format:
```
Li3B8C8
1.0
5.314 -0.072 0.287
-2.719 4.710 0.000
0.382 0.221 7.431
C Li B
8 3 8
Cartesian
4.120 0.803 2.242 C
-1.143 4.056 5.476 C
2.755 3.167 2.242 C
1.470 0.848 1.767 C
0.112 3.205 1.876 C
1.507 4.010 5.951 C
0.221 1.692 5.476 C
2.865 1.654 5.842 C
0.000 0.000 0.000 Li
-1.169 2.465 3.716 Li
0.191 0.110 3.716 Li
-1.189 4.016 1.778 B
4.165 0.842 5.941 B
0.164 1.672 1.778 B
2.808 1.621 2.118 B
1.429 3.965 2.252 B
1.548 0.894 5.466 B
2.812 3.186 5.941 B
0.168 3.237 5.601 B
```

Calculated values
As for the energy above the most stable polymorph in this dataset: 0.0826 eV per atom. Its energy relative to the elements is 89 meV per atom.

=====

8.
DFT (PBE-GGA) results for an optimized crystal structure of Er2ZrCu.

The structure in POSCAR format:
```
Er2ZrCu
1.0
-1.789 2.089 -1.935
-2.004 0.701 2.608
4.968 6.238 2.141
Zr Er Cu
1 2 1
Cartesian
0.588 4.514 1.407 Zr
3.887 4.880 1.675 Er
1.081 1.358 0.466 Er
-1.896 1.395 0.336 Cu
```

Calculated values
As for the energy above the most stable polymorph in this dataset: 0.0000 eV per atom. Its energy relative to the elements is -99 meV per atom.

=====

no.,total DFT energy (no corrections) (eV/atom)
1,-2.862
2,-4.449
3,-4.580
4,-6.740
5,-8.860
6,-4.509
7,-6.909
8,-5.542